VASP calculation (PBE-GGA) on a geometry-optimized ThMg2Sc2 structure.

a b c (Å): 11.8698 11.8698 3.3426
angles (deg): 90.00 90.00 163.64
With the nearest neighbours (Å) after each atom.
Atoms (fractional coordinates):
Th (0.0000, 0.0000, 0.0000)  4 Th 3.34-3.38, 8 Sc 3.35
Mg (0.1941, 0.8059, 0.0000)  6 Mg 3.12-3.38, 4 Sc 3.23
Mg (0.8059, 0.1941, 0.0000)  6 Mg 3.12-3.38, 4 Sc 3.23
Sc (0.3994, 0.6006, 0.5000)  4 Mg 3.23, 4 Sc 3.34-3.38, 4 Th 3.35
Sc (0.6006, 0.3994, 0.5000)  4 Mg 3.23, 4 Sc 3.34-3.38, 4 Th 3.35

Properties
* total energy: -4.5999 eV/atom
* calculated volume: 26.52 A^3/atom
* ρ: 4.64 g cm⁻³
* ΔH_f (0 K): 55 meV/atom